Compound: LiGaNiO2
Source: the Alexandria database
Functional: PBE+U
Structure: optimized geometry

Structure (POSCAR):
```
LiGaNiO2
1.0
3.7475 0.0000 0.0000
0.0000 3.7475 0.0000
0.0000 0.0000 4.9854
Li Ga Ni O
1 1 1 2
direct
0.0000 0.0000 0.0000
0.0000 0.0000 0.5000
0.5000 0.5000 0.0000
0.0000 0.5000 0.5000
0.5000 0.0000 0.5000
```

VASP energy (eV/cell): -17.91
Magnetic moment (μB per formula unit): 0.89
Fermi-level density of states (states/eV per cell): 1.81
SG: P4/mmm, No. 123